Run w
Al3GeCl after structural relaxation. Source: Alexandria via LeMat-Bulk, functional PBE.

Summary:
The calculation puts the calculated volume at 121 Å³/f.u. As for the size of the total moment: 0.000 μB per formula unit.

a = 4.949 Å, b = 4.949 Å, c = 4.949 Å
α = 90.00°, β = 90.00°, γ = 90.00°
Sites, in units of the cell vectors:
Ge 0.500 0.500 0.500
Al 0.000 0.500 0.000
Al 0.000 0.000 0.500
Al 0.500 0.000 0.000
Cl 0.000 0.000 0.000



Run x
Al3GeCl after structural relaxation. Source: Alexandria via LeMat-Bulk, functional PBE.

Summary:
The calculation puts the calculated volume at 133 Å³/f.u. As for the size of the total moment: 0.000 μB per formula unit.

a = 5.109 Å, b = 5.109 Å, c = 5.109 Å
α = 90.00°, β = 90.00°, γ = 90.00°
Sites, in units of the cell vectors:
Ge 0.000 0.000 0.000
Al 0.000 0.500 0.000
Al 0.000 0.000 0.500
Al 0.500 0.000 0.000
Cl 0.500 0.500 0.500



The structures above, arranged from the most stable to the least stable: run x, run w.